## 1
Material: Zr2TiCrH
Method: DFT, PBE
State: relaxed

Properties
Magnetization   1.86 μB per cell
Crystal system   tetragonal

POSCAR file:
```
Zr2TiCrH
1.0
-4.431 -0.939 0.803
-0.582 -1.052 -4.440
0.891 -3.577 0.731
Cr H Zr Ti
1 1 2 1
Cartesian
-2.061 -2.784 -1.453
0.000 0.000 0.000
-0.291 -0.526 -2.220
-2.215 -0.470 0.402
0.445 -1.789 0.365
```

---

## 2
Material: Zr2TiCrH
Method: DFT, PBE
State: relaxed

Properties
Magnetization   0.00 μB per cell
Crystal system   tetragonal

POSCAR file:
```
Zr2TiCrH
1.0
5.122 0.000 0.000
0.000 3.215 0.000
0.000 0.000 5.122
Cr H Zr Ti
1 1 2 1
Cartesian
2.561 1.607 2.561
0.000 1.607 0.000
0.000 0.000 2.561
2.561 0.000 0.000
0.000 0.000 0.000
```

---

Here are the energies relative to the best structure, in meV per atom: 1 0; 2 800.